Below is a relaxed Ni2OF crystal, with properties calculated at the GGA+U level.

Unit cell a=3.0310 b=3.0310 c=18.5437 alpha=90.00 beta=90.00 gamma=120.00
Space group R-3m (No. 166, hexagonal axes)
Asymmetric unit:
1 Ni 0.0000 0.0000 0.1041
2 O 0.0000 0.0000 0.5000
3 F 0.0000 0.0000 0.0000

Polymorph energy (0 for the lowest one) = 142 meV per atom
Energy = -43.73 eV/cell